LiCoF3 after structural relaxation. Source: the Alexandria database, functional PBE+U.

Cell: 3.999 3.999 3.999 Å, 90.00 90.00 90.00°
Element x y z (fractional)
Li  0.000  0.000  0.000
Co  0.500  0.500  0.500
F  0.000  0.500  0.500
F  0.500  0.000  0.500
F  0.500  0.500  0.000

Properties
Symmetry: Pm-3m
Density: 3.19 g/cm³
Total magnetic moment: 3.000 μB/cell
Raw total energy: -4.557 eV per atom